(1)
The following is a PBE calculation of crystalline Pa2SnO8 at its relaxed geometry, from Alexandria via LeMat-Bulk.

Geometry as CIF:
```
data_Pa2SnO8
_chemical_formula_sum 'Pa4 Sn2 O16'
_cell_length_a 10.5029
_cell_length_b 4.1152
_cell_length_c 7.4793
_cell_angle_alpha 90.00
_cell_angle_beta 117.45
_cell_angle_gamma 90.00
_space_group_name_H-M_alt 'C 1 2/m 1'
_space_group_IT_number 12
_space_group_name_Hall '-C 2y'
loop_
_atom_site_label
_atom_site_fract_x
_atom_site_fract_y
_atom_site_fract_z
Pa1 0.1977 0.0000 0.1580
Sn1 0.0000 0.0000 0.5000
O1 0.0159 0.0000 0.1866
O2 0.0268 0.5000 0.6175
O3 0.1729 0.5000 0.9880
O4 0.2131 0.0000 0.6333
```

=====

(2)
The following is a PBE calculation of crystalline PaTaSnO6 at its relaxed geometry, from Alexandria via LeMat-Bulk.

Geometry as CIF:
```
data_PaTaSnO6
_chemical_formula_sum 'Pa2 Ta2 Sn2 O12'
_cell_length_a 5.6881
_cell_length_b 5.6881
_cell_length_c 10.1560
_cell_angle_alpha 90.00
_cell_angle_beta 90.00
_cell_angle_gamma 120.00
_space_group_name_H-M_alt 'P -3 1 c'
_space_group_IT_number 163
_space_group_name_Hall '-P 3 2c'
loop_
_atom_site_label
_atom_site_fract_x
_atom_site_fract_y
_atom_site_fract_z
Pa1 0.3333 0.6667 0.2500
Ta1 0.3333 0.6667 0.7500
Sn1 0.0000 0.0000 0.0000
O1 0.0228 0.3820 0.6433
```

=====

These records have formation energy from raw total energies values of -2561, -2357 kJ/mol of formula units, in the order they appear.
These records have total magnetic moment values of 0.00, 0.00 μB/atom, in the order they appear.
These records have density values of 8.2, 7.3 g/cm3, in the order they appear.